Here is a relaxed Tb3Mg6Sc2 crystal from Alexandria via LeMat-Bulk. Energies are from GGA-PBE.

Output
* N(E_F): 1.20 states/eV/atom
* space-group type: I4/mmm (139)
* total DFT energy (no corrections): -34.39 eV/f.u.
* energy of formation: 1.73 eV/f.u.

Cell lengths 4.4366, 4.4366, 15.6062 Å; angles 98.17, 98.17, 90.00 degrees
With the nearest neighbours (Å) after each atom.
Atoms (fractional coordinates):
Tb  0.2113  0.2113  0.4226  5 Mg 3.26-3.27
Mg  0.6818  0.6818  0.3637  4 Mg 3.00, 5 Tb 3.26-3.27
Sc  0.4532  0.4532  0.9064  1 Sc 2.86, 4 Mg 3.06
Mg  0.1159  0.6159  0.2318  6 Mg 3.00-3.14, 2 Sc 3.06
Mg  0.6159  0.1159  0.2318  6 Mg 3.00-3.14, 2 Sc 3.06
Sc  0.5468  0.5468  0.0936  1 Sc 2.86, 4 Mg 3.06
Tb  0.7887  0.7887  0.5774  5 Mg 3.26-3.27
Tb  0.0000  0.0000  0.0000  8 Sc 3.45
Mg  0.3841  0.8841  0.7682  6 Mg 3.00-3.14, 2 Sc 3.06
Mg  0.8841  0.3841  0.7682  6 Mg 3.00-3.14, 2 Sc 3.06
Mg  0.3182  0.3182  0.6363  4 Mg 3.00, 5 Tb 3.26-3.27